Record 1
{"formula": "NdRe4", "functional": "PBE", "state": "optimized geometry", "crystal_system": "cubic", "e_form_ev_per_atom": 3.70, "total_energy_ev_per_atom": -7.210, "rho_g_cm3": 13.546, "lattice_angstrom": [[4.777, 0.000, 0.000], [0.000, 4.777, 0.000], [0.000, 0.000, 4.777]], "species": ["Nd", "Re", "Re", "Re", "Re"], "frac_coords": [[0.000, 0.000, 0.000], [0.000, 0.000, 0.500], [0.000, 0.500, 0.000], [0.500, 0.000, 0.000], [0.500, 0.500, 0.500]]}

Record 2
{"formula": "Li3Ce3InS8", "functional": "PBE", "state": "optimized geometry", "crystal_system": "trigonal", "raw_formation_energy_ev_per_atom": -1.497, "total_energy_ev_per_atom": -5.451, "rho_g_cm3": 3.948, "lattice_angstrom": [[4.005, 2.312, 6.151], [-4.005, 2.312, 6.151], [0.000, -4.624, 6.151]], "species": ["Li", "Li", "Li", "Ce", "Ce", "Ce", "In", "S", "S", "S", "S", "S", "S", "S", "S"], "frac_coords": [[0.000, 0.500, 0.500], [0.500, 0.000, 0.500], [0.500, 0.500, 0.000], [0.000, 0.000, 0.500], [0.000, 0.500, 0.000], [0.500, 0.000, 0.000], [0.500, 0.500, 0.500], [0.252, 0.252, 0.252], [0.258, 0.258, 0.736], [0.258, 0.736, 0.258], [0.264, 0.742, 0.742], [0.736, 0.258, 0.258], [0.742, 0.264, 0.742], [0.742, 0.742, 0.264], [0.748, 0.748, 0.748]]}

Number 1: density of states at the Fermi level 5.3 states/eV/f.u.. Number 2: density of states at the Fermi level 12.5 states/eV/f.u..